A relaxed structure of BaCaSnBr6. Source: Alexandria via LeMat-Bulk, functional PBE-GGA.

**Formation energy (no corrections)**: -1.63 eV/atom
**Total magnetic moment**: 0.00 μB per formula unit
**Mass density**: 3.61 Mg/m³

abc: 7.1586 7.1586 13.9097
angles: 90.00 90.00 90.00
Fractional positions:
Ba  0.0000  0.0000  0.0000
Ba  0.5000  0.5000  0.5000
Ca  0.0000  0.0000  0.6664
Ca  0.5000  0.5000  0.1664
Sn  0.0000  0.0000  0.3319
Sn  0.5000  0.5000  0.8319
Br  0.1819  0.1819  0.5030
Br  0.2009  0.2009  0.8184
Br  0.2082  0.2082  0.1765
Br  0.2918  0.7082  0.6765
Br  0.2991  0.7009  0.3184
Br  0.3181  0.6819  0.0030
Br  0.6819  0.3181  0.0030
Br  0.7009  0.2991  0.3184
Br  0.7082  0.2918  0.6765
Br  0.7918  0.7918  0.1765
Br  0.7991  0.7991  0.8184
Br  0.8181  0.8181  0.5030


A relaxed structure of ZnHgTe2. Source: Alexandria via LeMat-Bulk, functional PBE-GGA.

**Formation energy (no corrections)**: -0.08 eV/atom
**Total magnetic moment**: 0.00 μB per formula unit
**Mass density**: 5.30 Mg/m³

abc: 9.4271 9.4271 9.4271
angles: 28.02 28.02 28.02
Fractional positions:
Zn  0.0000  0.0000  0.0000
Hg  0.1779  0.1779  0.1779
Te  0.4839  0.4839  0.4839
Te  0.6741  0.6741  0.6741


A relaxed structure of CoRe2As. Source: Alexandria via LeMat-Bulk, functional PBE-GGA.

**ΔH_f (0 K)**: 0.177 eV/atom
**Total magnetic moment**: 0.00 μB per formula unit
**Mass density**: 15.49 Mg/m³

abc: 4.9753 4.9753 4.9753
angles: 145.14 128.76 63.47
Fractional positions:
Co  0.0000  0.0000  0.0000
Re  0.2724  0.7724  0.5000
Re  0.5463  0.5463  0.0000
As  0.7913  0.2913  0.5000


A relaxed structure of Hf2TaAg. Source: Alexandria via LeMat-Bulk, functional PBE-GGA.

**ΔH_f (0 K)**: 0.141 eV/atom
**Total magnetic moment**: 0.00 μB per formula unit
**Mass density**: 13.69 Mg/m³
**Energy above the most stable polymorph in this dataset**: 135 meV per atom

abc: 4.8029 4.8029 4.8029
angles: 60.00 60.00 60.00
Fractional positions:
Hf  0.2500  0.2500  0.2500
Hf  0.7500  0.7500  0.7500
Ta  0.0000  0.0000  0.0000
Ag  0.5000  0.5000  0.5000


A relaxed structure of TlCdRu2. Source: Alexandria via LeMat-Bulk, functional PBE-GGA.

**ΔH_f (0 K)**: 0.560 eV/atom
**Total magnetic moment**: 0.35 μB per formula unit
**Mass density**: 12.02 Mg/m³

abc: 4.8403 4.8403 5.3359
angles: 101.47 101.47 35.90
Fractional positions:
Tl  0.0000  0.0000  0.0000
Cd  0.5000  0.5000  0.5000
Ru  0.2525  0.2525  0.7164
Ru  0.7475  0.7475  0.2836


A relaxed structure of TbPa2S3. Source: Alexandria via LeMat-Bulk, functional PBE-GGA.

**Formation energy (no corrections)**: -1.73 eV/atom
**Total magnetic moment**: 0.00 μB per formula unit
**Mass density**: 9.45 Mg/m³

abc: 5.5122 11.7881 7.7582
angles: 90.00 90.07 90.00
Fractional positions:
Tb  0.2496  0.0828  0.1280
Tb  0.2496  0.4172  0.6280
Tb  0.7504  0.5828  0.3720
Tb  0.7504  0.9172  0.8720
Pa  0.2495  0.0832  0.6222
Pa  0.2495  0.4168  0.1222
Pa  0.2509  0.7489  0.6242
Pa  0.2509  0.7511  0.1242
Pa  0.7491  0.2489  0.8758
Pa  0.7491  0.2511  0.3758
Pa  0.7505  0.5832  0.8778
Pa  0.7505  0.9168  0.3778
S  0.2490  0.2481  0.8749
S  0.2490  0.2519  0.3749
S  0.2504  0.5819  0.3749
S  0.2504  0.9181  0.8749
S  0.2505  0.5834  0.8738
S  0.2505  0.9166  0.3738
S  0.7495  0.0834  0.6262
S  0.7495  0.4166  0.1262
S  0.7496  0.0819  0.1251
S  0.7496  0.4181  0.6251
S  0.7510  0.7481  0.6251
S  0.7510  0.7519  0.1251


A relaxed structure of CsHoIn2Br6. Source: Alexandria via LeMat-Bulk, functional PBE-GGA.

**Formation energy (no corrections)**: -1.39 eV/atom
**Total magnetic moment**: 0.00 μB per formula unit
**Mass density**: 3.93 Mg/m³

abc: 8.2452 8.2510 8.6414
angles: 61.53 61.52 60.04
Fractional positions:
Cs  0.0000  0.0000  0.0000
Ho  0.5151  0.5156  0.4542
In  0.1975  0.1981  0.4066
In  0.7112  0.7118  0.8657
Br  0.1681  0.7380  0.6618
Br  0.3484  0.5666  0.2048
Br  0.4320  0.1687  0.6615
Br  0.5661  0.8801  0.2048
Br  0.7383  0.4326  0.6613
Br  0.8796  0.3495  0.2044


A relaxed structure of CaIrSe. Source: Alexandria via LeMat-Bulk, functional PBE-GGA.

**Formation energy (no corrections)**: 0.28 eV/atom
**Total magnetic moment**: 0.12 μB per formula unit
**Mass density**: 7.37 Mg/m³
**Energy above the most stable polymorph in this dataset**: 967 meV per atom

abc: 4.6290 4.6290 4.6290
angles: 60.00 60.00 60.00
Fractional positions:
Ca  0.0000  0.0000  0.0000
Ir  0.2500  0.2500  0.2500
Se  0.7500  0.7500  0.7500


A relaxed structure of BaTaCuTe2. Source: Alexandria via LeMat-Bulk, functional PBE-GGA.

**Formation energy (no corrections)**: 0.24 eV/atom
**Total magnetic moment**: 2.63 μB per formula unit
**Mass density**: 7.17 Mg/m³

abc: 5.5401 5.5401 4.8079
angles: 90.00 90.00 90.00
Fractional positions:
Ba  0.0000  0.0000  0.0000
Ta  0.5000  0.5000  0.0000
Cu  0.5000  0.5000  0.5000
Te  0.0000  0.5000  0.5000
Te  0.5000  0.0000  0.5000


A relaxed structure of CeSm2Sb4. Source: Alexandria via LeMat-Bulk, functional PBE-GGA.

**Formation energy (no corrections)**: -0.80 eV/atom
**Total magnetic moment**: 1.33 μB per formula unit
**Mass density**: 6.91 Mg/m³

abc: 4.3286 4.3286 11.9083
angles: 90.00 90.00 90.00
Fractional positions:
Ce  0.0000  0.0000  0.0000
Sm  0.0000  0.5000  0.7057
Sm  0.5000  0.0000  0.2943
Sb  0.0000  0.0000  0.5000
Sb  0.0000  0.5000  0.1899
Sb  0.5000  0.0000  0.8101
Sb  0.5000  0.5000  0.5000


A relaxed structure of RbSb2Pb2. Source: Alexandria via LeMat-Bulk, functional PBE-GGA.

**Formation energy (no corrections)**: -0.12 eV/atom
**Total magnetic moment**: 0.00 μB per formula unit
**Mass density**: 6.37 Mg/m³
**Energy above the most stable polymorph in this dataset**: 56 meV per atom

abc: 7.2821 7.2821 7.2821
angles: 134.43 134.43 66.42
Fractional positions:
Rb  0.0000  0.0000  0.0000
Sb  0.2500  0.7500  0.5000
Sb  0.7500  0.2500  0.5000
Pb  0.3632  0.3632  0.0000
Pb  0.6368  0.6368  0.0000


A relaxed structure of Nd2GaBi. Source: Alexandria via LeMat-Bulk, functional PBE-GGA.

**ΔH_f (0 K)**: -0.711 eV/atom
**Total magnetic moment**: 0.00 μB per formula unit
**Mass density**: 7.58 Mg/m³
**Energy above the most stable polymorph in this dataset**: 0 meV per atom

abc: 12.4121 12.4121 4.4181
angles: 90.00 90.00 158.58
Fractional positions:
Nd  0.0589  0.9411  0.7500
Nd  0.3227  0.6773  0.7500
Nd  0.6773  0.3227  0.2500
Nd  0.9411  0.0589  0.2500
Ga  0.4651  0.5349  0.7500
Ga  0.5349  0.4651  0.2500
Bi  0.1894  0.8106  0.7500
Bi  0.8106  0.1894  0.2500